(1)
Here is a relaxed NaHgPd2 crystal from OQMD. Energies are from GGA-PBE.

Summary:
**ρ**: 10.20 g/cm³
**Total DFT energy (no corrections)**: -0.2330 Ry/atom

Cell: 4.643 4.643 4.643 Å, 119.77 119.77 90.40°
Fractional positions:
1 Na 0.000 0.000 0.000
2 Hg 0.500 0.500 0.000
3 Pd 0.250 0.750 0.500
4 Pd 0.750 0.250 0.500

=====

(2)
Here is a relaxed NaHgPd2 crystal from OQMD. Energies are from GGA-PBE.

Summary:
**ρ**: 10.40 g/cm³
**Total DFT energy (no corrections)**: -0.2334 Ry/atom

Cell: 7.414 6.249 6.018 Å, 90.00 90.00 90.00°
Fractional positions:
1 Na 0.001 0.250 0.249
2 Na 0.499 0.750 0.749
3 Na 0.501 0.250 0.251
4 Na 0.999 0.750 0.751
5 Hg 0.000 0.250 0.751
6 Hg 0.000 0.750 0.249
7 Hg 0.500 0.250 0.749
8 Hg 0.500 0.750 0.251
9 Pd 0.249 0.000 0.499
10 Pd 0.249 0.500 0.499
11 Pd 0.251 0.000 0.999
12 Pd 0.251 0.500 0.999
13 Pd 0.749 0.000 0.001
14 Pd 0.749 0.500 0.001
15 Pd 0.751 0.000 0.501
16 Pd 0.751 0.500 0.501

=====

(3)
Here is a relaxed NaHg3PdS4 crystal from OQMD. Energies are from GGA-PBE.

Summary:
**ρ**: 6.16 g/cm³
**Total DFT energy (no corrections)**: -0.2033 Ry/atom

Cell: 6.142 6.142 6.142 Å, 90.00 90.00 90.00°
Fractional positions:
1 Na 0.000 0.000 0.000
2 Hg 0.000 0.500 0.500
3 Hg 0.500 0.000 0.500
4 Hg 0.500 0.500 0.000
5 Pd 0.500 0.500 0.500
6 S 0.256 0.256 0.256
7 S 0.256 0.744 0.744
8 S 0.744 0.256 0.744
9 S 0.744 0.744 0.256